A plane-wave DFT calculation with GGA-PBE was carried out for a relaxed structure of Pr2CuS.

The space group is Cmcm (No. 63) and the conventional cell measures 4.0764, 23.9139 and 4.0989 Å, with angles of 90.00, 90.00 and 90.00 degrees. The inequivalent atoms are Pr at (0.0000, 0.0707, 0.2500), Pr at (0.0000, 0.3108, 0.2500), Cu at (0.0000, 0.4662, 0.2500) and S at (0.0000, 0.1912, 0.2500).

As for the uncorrected formation energy: -24.890 kcal/mol of atoms. Its polymorph energy (0 for the lowest one) is 0 meV/atom.